Entry 1:
Material: LiMnSe2
Method: DFT, PBE
State: relaxed

Calculated values
* volume: 103.7 Å³/f.u.
* space group: Immm (71)
* formation energy (no corrections): -2.154 eV/f.u.

Unit cell a=5.711 b=5.711 c=5.711 alpha=143.87 beta=101.72 gamma=89.38
Element x y z (fractional)
1 Li 0.000 0.000 0.000
2 Mn 0.500 0.000 0.500
3 Se 0.268 0.500 0.768
4 Se 0.732 0.500 0.232


Entry 2:
Material: Gd2HoZr
Method: DFT, PBE
State: relaxed

Calculated values
* volume: 115.6 Å³/f.u.
* calculated formation energy: 0.10 eV/atom
* space group: P4/mmm (123)

Unit cell a=4.869 b=4.869 c=4.878 alpha=90.00 beta=90.00 gamma=90.00
Element x y z (fractional)
1 Gd 0.000 0.500 0.000
2 Gd 0.500 0.000 0.000
3 Ho 0.000 0.000 0.500
4 Zr 0.500 0.500 0.500